[1]
# AlRuI2Cl (PBE-GGA, optimized geometry)
data_AlRuI2Cl
_symmetry_space_group_name_H-M 'P 4/m m m'
_symmetry_Int_Tables_number 123
_symmetry_space_group_name_Hall '-P 4 2'
_cell_length_a 5.4248
_cell_length_b 5.4248
_cell_length_c 4.9975
_cell_angle_alpha 90.00
_cell_angle_beta 90.00
_cell_angle_gamma 90.00
loop_
_atom_site_label
_atom_site_type_symbol
_atom_site_fract_x
_atom_site_fract_y
_atom_site_fract_z
_atom_site_occupancy
Al1 Al 0.0000 0.0000 0.0000 1
Ru1 Ru 0.0000 0.0000 0.5000 1
I1 I 0.0000 0.5000 0.0000 1
Cl1 Cl 0.5000 0.5000 0.5000 1
# energy	-14.511	eV/cell

[2]
# AlS2I2Cl2 (PBE-GGA, optimized geometry)
data_AlS2I2Cl2
_symmetry_space_group_name_H-M 'C 1 2/m 1'
_symmetry_Int_Tables_number 12
_symmetry_space_group_name_Hall '-C 2y'
_cell_length_a 15.7717
_cell_length_b 3.9926
_cell_length_c 10.0071
_cell_angle_alpha 90.00
_cell_angle_beta 127.66
_cell_angle_gamma 90.00
loop_
_atom_site_label
_atom_site_type_symbol
_atom_site_fract_x
_atom_site_fract_y
_atom_site_fract_z
_atom_site_occupancy
Al1 Al 0.0000 0.0000 0.0000 1
S1 S 0.0318 0.5000 0.4452 1
I1 I 0.1002 0.5000 0.9305 1
Cl1 Cl 0.1428 0.0000 0.2612 1
# energy	-44.094	eV/cell

[3]
# AlSICl2 (PBE-GGA, optimized geometry)
data_AlSICl2
_symmetry_space_group_name_H-M 'P 4/m m m'
_symmetry_Int_Tables_number 123
_symmetry_space_group_name_Hall '-P 4 2'
_cell_length_a 5.5527
_cell_length_b 5.5527
_cell_length_c 5.1777
_cell_angle_alpha 90.00
_cell_angle_beta 90.00
_cell_angle_gamma 90.00
loop_
_atom_site_label
_atom_site_type_symbol
_atom_site_fract_x
_atom_site_fract_y
_atom_site_fract_z
_atom_site_occupancy
Al1 Al 0.0000 0.0000 0.0000 1
S1 S 0.5000 0.5000 0.0000 1
I1 I 0.5000 0.5000 0.5000 1
Cl1 Cl 0.0000 0.5000 0.5000 1
# ΔE to the lowest computed polymorph	721	meV per atom
# energy	-11.577	eV/cell